1.
A plane-wave DFT calculation with PBE was carried out for crystalline Pr2PuAu6 at its relaxed geometry.

POSCAR file:
```
Pr2PuAu6
1.0
3.547 0.000 0.000
0.000 7.179 -4.145
0.000 0.000 8.290
Pr Pu Au
2 1 6
direct
0.000 0.333 0.667
0.000 0.667 0.333
0.000 0.000 0.000
0.500 0.332 0.332
0.500 0.668 0.668
0.500 0.000 0.668
0.500 0.668 0.000
0.500 0.332 0.000
0.500 0.000 0.332
```

Output
Calculated formation energy   -658 meV/atom
Calculated volume   23.46 Å³ per atom

2.
A plane-wave DFT calculation with PBE was carried out for crystalline Na3SbPt at its relaxed geometry.

POSCAR file:
```
Na3SbPt
1.0
6.745 0.671 -0.280
-1.201 6.672 0.280
-3.206 -3.344 6.185
Na Sb Pt
6 2 2
direct
0.832 0.004 0.257
0.253 0.425 0.257
0.747 0.575 0.743
0.744 0.478 0.222
0.168 0.996 0.743
0.256 0.522 0.778
0.727 0.104 0.831
0.273 0.896 0.169
0.632 0.827 0.460
0.368 0.173 0.540
```

Output
Energy relative to the lowest polymorph listed for this composition   0.000 eV/atom
ΔE_f (raw)   -0.24 eV per atom
Calculated volume   28.19 Å³ per atom

| no. | mass density (g cm⁻³) | magnetic moment (μB/atom) |
| --- | --- | --- |
| 1 | 13.4 | 0.649 |
| 2 | 4.5 | 0.000 |